Record 1
{
  "formula": "Pm6PrY2Ho3",
  "functional": "PBE-GGA",
  "state": "optimized geometry",
  "space_group": "C2/m, No. 12",
  "formation_enthalpy_0k_kj_per_mol_fu": 16,
  "cell": [[3.132, -5.424, 0.000], [3.132, 5.424, 0.000], [-2.082, 0.000, 11.740]],
  "species": ["Pm", "Pm", "Pm", "Pm", "Pm", "Pm", "Pr", "Y", "Y", "Ho", "Ho", "Ho"],
  "frac_coords": [[0.085, 0.418, 0.753], [0.249, 0.249, 0.247], [0.418, 0.085, 0.753], [0.582, 0.915, 0.247], [0.751, 0.751, 0.753], [0.915, 0.582, 0.247], [0.000, 0.000, 0.500], [0.333, 0.667, 0.500], [0.667, 0.333, 0.500], [0.167, 0.833, 0.000], [0.500, 0.500, 0.000], [0.833, 0.167, 0.000]]
}

---

Record 2
{
  "formula": "Pm6Pr3YHo2",
  "functional": "PBE-GGA",
  "state": "optimized geometry",
  "space_group": "C2/m, No. 12",
  "formation_enthalpy_0k_kj_per_mol_fu": 19,
  "cell": [[3.157, -5.471, 0.000], [3.157, 5.471, 0.000], [-2.108, 0.000, 11.868]],
  "species": ["Pm", "Pm", "Pm", "Pm", "Pm", "Pm", "Pr", "Pr", "Pr", "Y", "Ho", "Ho"],
  "frac_coords": [[0.084, 0.418, 0.755], [0.248, 0.248, 0.245], [0.418, 0.084, 0.755], [0.582, 0.916, 0.245], [0.752, 0.752, 0.755], [0.916, 0.582, 0.245], [0.000, 0.000, 0.500], [0.333, 0.667, 0.500], [0.667, 0.333, 0.500], [0.500, 0.500, 0.000], [0.167, 0.833, 0.000], [0.833, 0.167, 0.000]]
}